[1]
An optimized crystal structure of Nd4Sb2TeSe. Source: the Alexandria database, functional PBE.

Cell and atoms, written as CIF:
```
data_Nd4Sb2TeSe
_chemical_formula_sum 'Nd4 Sb2 Te1 Se1'
_symmetry_space_group_name_H-M 'P 1'
_symmetry_Int_Tables_number 1
_symmetry_space_group_name_Hall 'P 1'
_cell_length_a 7.682
_cell_length_b 4.463
_cell_length_c 7.741
_cell_angle_alpha 90.00
_cell_angle_beta 109.62
_cell_angle_gamma 90.00
loop_
_atom_site_label
_atom_site_type_symbol
_atom_site_fract_x
_atom_site_fract_y
_atom_site_fract_z
Nd1 Nd 0.247 0.000 0.241
Nd2 Nd 0.252 0.500 0.759
Nd3 Nd 0.748 0.500 0.241
Nd4 Nd 0.753 0.000 0.759
Sb1 Sb 0.500 0.000 0.000
Sb2 Sb 0.500 0.500 0.500
Te1 Te 0.000 0.000 0.500
Se1 Se 0.000 0.500 0.000
```


[2]
An optimized crystal structure of Nd8Sb3Te4Se. Source: the Alexandria database, functional PBE.

Cell and atoms, written as CIF:
```
data_Nd8Sb3Te4Se
_chemical_formula_sum 'Nd8 Sb3 Te4 Se1'
_symmetry_space_group_name_H-M 'P 1'
_symmetry_Int_Tables_number 1
_symmetry_space_group_name_Hall 'P 1'
_cell_length_a 8.994
_cell_length_b 8.994
_cell_length_c 8.994
_cell_angle_alpha 59.59
_cell_angle_beta 59.59
_cell_angle_gamma 59.59
loop_
_atom_site_label
_atom_site_type_symbol
_atom_site_fract_x
_atom_site_fract_y
_atom_site_fract_z
Nd1 Nd 0.247 0.247 0.247
Nd2 Nd 0.253 0.741 0.741
Nd3 Nd 0.259 0.259 0.747
Nd4 Nd 0.259 0.747 0.259
Nd5 Nd 0.741 0.253 0.741
Nd6 Nd 0.741 0.741 0.253
Nd7 Nd 0.747 0.259 0.259
Nd8 Nd 0.753 0.753 0.753
Sb1 Sb 0.000 0.000 0.500
Sb2 Sb 0.000 0.500 0.000
Sb3 Sb 0.500 0.000 0.000
Te1 Te 0.000 0.000 0.000
Te2 Te 0.000 0.500 0.500
Te3 Te 0.500 0.000 0.500
Te4 Te 0.500 0.500 0.000
Se1 Se 0.500 0.500 0.500
```


[3]
An optimized crystal structure of Nd6Sb2Te3Se. Source: the Alexandria database, functional PBE.

Cell and atoms, written as CIF:
```
data_Nd6Sb2Te3Se
_chemical_formula_sum 'Nd6 Sb2 Te3 Se1'
_symmetry_space_group_name_H-M 'P 1'
_symmetry_Int_Tables_number 1
_symmetry_space_group_name_Hall 'P 1'
_cell_length_a 10.039
_cell_length_b 10.039
_cell_length_c 8.968
_cell_angle_alpha 103.69
_cell_angle_beta 103.69
_cell_angle_gamma 25.63
loop_
_atom_site_label
_atom_site_type_symbol
_atom_site_fract_x
_atom_site_fract_y
_atom_site_fract_z
Nd1 Nd 0.001 0.001 0.228
Nd2 Nd 0.332 0.332 0.422
Nd3 Nd 0.344 0.344 0.917
Nd4 Nd 0.656 0.656 0.083
Nd5 Nd 0.668 0.668 0.578
Nd6 Nd 0.999 0.999 0.772
Sb1 Sb 0.166 0.166 0.332
Sb2 Sb 0.834 0.834 0.668
Te1 Te 0.170 0.170 0.835
Te2 Te 0.500 0.500 0.500
Te3 Te 0.830 0.830 0.165
Se1 Se 0.500 0.500 0.000
```


[4]
An optimized crystal structure of Nd6SbTe2Se3. Source: the Alexandria database, functional PBE.

Cell and atoms, written as CIF:
```
data_Nd6SbTe2Se3
_chemical_formula_sum 'Nd6 Sb1 Te2 Se3'
_symmetry_space_group_name_H-M 'P 1'
_symmetry_Int_Tables_number 1
_symmetry_space_group_name_Hall 'P 1'
_cell_length_a 9.792
_cell_length_b 9.792
_cell_length_c 8.799
_cell_angle_alpha 103.37
_cell_angle_beta 103.37
_cell_angle_gamma 25.65
loop_
_atom_site_label
_atom_site_type_symbol
_atom_site_fract_x
_atom_site_fract_y
_atom_site_fract_z
Nd1 Nd 0.006 0.006 0.243
Nd2 Nd 0.331 0.331 0.435
Nd3 Nd 0.341 0.341 0.899
Nd4 Nd 0.659 0.659 0.101
Nd5 Nd 0.669 0.669 0.565
Nd6 Nd 0.994 0.994 0.757
Sb1 Sb 0.500 0.500 0.500
Te1 Te 0.168 0.168 0.835
Te2 Te 0.832 0.832 0.165
Se1 Se 0.168 0.168 0.334
Se2 Se 0.500 0.500 0.000
Se3 Se 0.832 0.832 0.666
```


| no. | VASP energy (eV per cell) | formation energy from raw total energies (kJ/mol of atoms) |
| --- | --- | --- |
| 1 | -45.32 | -137.2 |
| 2 | -89.23 | -136.7 |
| 3 | -67.06 | -139.1 |
| 4 | -68.73 | -154.9 |